(1)
This record from OQMD describes a geometry-optimized TbZn2Ag structure. The functional is PBE-GGA.

Properties
* ΔE_f: -340.8 meV/atom
* crystal system: orthorhombic

a = 6.976 Å, b = 4.348 Å, c = 10.179 Å
α = 90.00°, β = 90.00°, γ = 90.00°
Positions (direct):
Ag: 0.964 0.750 0.098
Ag: 0.464 0.750 0.402
Ag: 0.536 0.250 0.598
Ag: 0.036 0.250 0.902
Tb: 0.280 0.250 0.172
Tb: 0.780 0.250 0.328
Tb: 0.220 0.750 0.672
Tb: 0.720 0.750 0.828
Zn: 0.695 0.250 0.037
Zn: 0.582 0.750 0.147
Zn: 0.082 0.750 0.353
Zn: 0.195 0.250 0.463
Zn: 0.805 0.750 0.537
Zn: 0.918 0.250 0.647
Zn: 0.418 0.250 0.853
Zn: 0.305 0.750 0.963

(2)
This record from OQMD describes a geometry-optimized Tc2Ag structure. The functional is PBE-GGA.

Properties
* ΔE_f: 609.1 meV/atom
* crystal system: cubic
* energy above the most stable polymorph in this dataset: 0.0000 eV per atom

a = 5.171 Å, b = 5.171 Å, c = 5.171 Å
α = 60.00°, β = 60.00°, γ = 60.00°
Positions (direct):
Ag: 0.000 0.000 0.000
Ag: 0.250 0.250 0.250
Tc: 0.625 0.625 0.125
Tc: 0.625 0.125 0.625
Tc: 0.125 0.625 0.625
Tc: 0.625 0.625 0.625

(3)
This record from OQMD describes a geometry-optimized Tc2Ag structure. The functional is PBE-GGA.

Properties
* ΔE_f: 614.6 meV/atom
* crystal system: trigonal
* energy above the most stable polymorph in this dataset: 0.0055 eV per atom

a = 5.112 Å, b = 5.112 Å, c = 5.112 Å
α = 61.33°, β = 61.33°, γ = 61.33°
Positions (direct):
Ag: 0.751 0.751 0.751
Ag: 0.000 0.000 0.000
Tc: 0.875 0.375 0.375
Tc: 0.375 0.875 0.375
Tc: 0.375 0.375 0.375
Tc: 0.375 0.375 0.875

(4)
This record from OQMD describes a geometry-optimized TcAg2 structure. The functional is PBE-GGA.

Properties
* ΔE_f: 872.0 meV/atom
* crystal system: cubic

a = 5.220 Å, b = 5.220 Å, c = 5.220 Å
α = 60.00°, β = 60.00°, γ = 60.00°
Positions (direct):
Ag: 0.625 0.625 0.125
Ag: 0.625 0.125 0.625
Ag: 0.125 0.625 0.625
Ag: 0.625 0.625 0.625
Tc: 0.000 0.000 0.000
Tc: 0.250 0.250 0.250